# 1
This record from the Alexandria database describes a relaxed TlGe2P2 crystal. The functional is GGA-PBE.

Lattice parameters (Å, degrees): 4.7976 4.7976 9.0360 90.00 90.00 90.00
Last column: nearest neighbours and their distance in Å.
Space group I4/mmm (No. 139)
Symmetry-distinct sites (fractional):
Tl1 0.0000 0.0000 0.0000 [2 per cell]  2 Ge 3.17, 8 P 3.30
Ge1 0.0000 0.0000 0.3505 [4 per cell]  4 P 2.56, 1 Ge 2.70
P1 0.0000 0.5000 0.2500 [4 per cell]  4 Ge 2.56

Calculated values
The crystal system is tetragonal. Its polymorph energy (0 for the lowest one) is 0.000 eV/atom.

***

# 2
This record from the Alexandria database describes a relaxed TlGeP crystal. The functional is GGA-PBE.

Lattice parameters (Å, degrees): 3.7274 3.7274 5.9738 90.00 90.00 120.00
Last column: nearest neighbours and their distance in Å.
Space group P3m1 (No. 156)
Symmetry-distinct sites (fractional):
Tl1 0.0000 0.0000 0.0000 [1 per cell]  3 P 3.15, 3 Ge 3.31
Ge1 0.3333 0.6667 0.5791 [1 per cell]  3 P 2.44
P1 0.6667 0.3333 0.3861 [1 per cell]  3 Ge 2.44

Calculated values
The crystal system is trigonal. Its polymorph energy (0 for the lowest one) is 0.004 eV/atom.

***

# 3
This record from the Alexandria database describes a relaxed Tl2Ge2P crystal. The functional is GGA-PBE.

Lattice parameters (Å, degrees): 6.6442 6.6442 5.6188 90.00 90.00 90.00
Last column: nearest neighbours and their distance in Å.
Space group P4/mbm (No. 127)
Symmetry-distinct sites (fractional):
Tl1 0.1839 0.3161 0.0000 [4 per cell]  6 Ge 3.25-3.56, 5 Tl 3.44-3.46
Ge1 0.1418 0.6418 0.5000 [4 per cell]  2 P 2.56, 1 Ge 2.67
P1 0.0000 0.0000 0.5000 [2 per cell]  4 Ge 2.56

Calculated values
The crystal system is tetragonal. Its polymorph energy (0 for the lowest one) is 0.000 eV/atom.

***

# 4
This record from the Alexandria database describes a relaxed TlGeP2 crystal. The functional is GGA-PBE.

Lattice parameters (Å, degrees): 6.3995 6.3995 9.8738 90.00 90.00 90.00
Last column: nearest neighbours and their distance in Å.
Space group I-42d (No. 122)
Symmetry-distinct sites (fractional):
Tl1 0.0000 0.0000 0.0000 [4 per cell]  4 P 2.82
Ge1 0.0000 0.0000 0.5000 [4 per cell]  4 P 2.37
P1 0.1929 0.2500 0.6250 [8 per cell]  2 Ge 2.37

Calculated values
The crystal system is tetragonal. Its polymorph energy (0 for the lowest one) is 0.000 eV/atom.

***

# 5
This record from the Alexandria database describes a relaxed Tl2Ge2P crystal. The functional is GGA-PBE.

Lattice parameters (Å, degrees): 4.1383 4.1383 15.2908 90.00 90.00 90.00
Last column: nearest neighbours and their distance in Å.
Space group I4/mmm (No. 139)
Symmetry-distinct sites (fractional):
Tl1 0.0000 0.5000 0.2500 [4 per cell]  4 Tl 2.93
Ge1 0.0000 0.0000 0.0791 [4 per cell]  1 Ge 2.42
P1 0.0000 0.0000 0.5000 [2 per cell]  8 Ge 3.17

Calculated values
The crystal system is tetragonal. Its polymorph energy (0 for the lowest one) is 0.368 eV/atom.

***

# 6
This record from the Alexandria database describes a relaxed ZrTl2GeP crystal. The functional is GGA-PBE.

Lattice parameters (Å, degrees): 5.1321 5.1321 4.8926 90.00 90.00 90.00
Last column: nearest neighbours and their distance in Å.
Space group P4/mmm (No. 123)
Symmetry-distinct sites (fractional):
Zr1 0.0000 0.0000 0.0000 [1 per cell]  8 Tl 3.55, 4 Ge 3.63
Tl1 0.0000 0.5000 0.5000 [2 per cell]  2 P 2.57
Ge1 0.5000 0.5000 0.0000 [1 per cell]  2 P 2.45
P1 0.5000 0.5000 0.5000 [1 per cell]  2 Ge 2.45, 4 Tl 2.57

Calculated values
The crystal system is tetragonal.

***

# 7
This record from the Alexandria database describes a relaxed Tm2GeP crystal. The functional is GGA-PBE.

Lattice parameters (Å, degrees): 3.8774 3.8774 21.0600 90.00 90.00 120.00
Last column: nearest neighbours and their distance in Å.
Space group R-3m (No. 166, hexagonal axes)
Symmetry-distinct sites (fractional):
Tm1 0.0000 0.0000 0.2432 [6 per cell]  3 P 2.76, 3 Ge 2.93
Ge1 0.0000 0.0000 0.0000 [3 per cell]  6 Tm 2.93
P1 0.0000 0.0000 0.5000 [3 per cell]  6 Tm 2.76

Calculated values
The crystal system is trigonal. Its polymorph energy (0 for the lowest one) is 0.081 eV/atom.

***

# 8
This record from the Alexandria database describes a relaxed Tm2GeP crystal. The functional is GGA-PBE.

Lattice parameters (Å, degrees): 4.0866 21.8971 3.9242 90.00 90.00 90.00
Last column: nearest neighbours and their distance in Å.
Space group Cmcm (No. 63)
Symmetry-distinct sites (fractional):
Tm1 0.0000 0.0666 0.2500 [4 per cell]  1 P 2.66, 4 Ge 2.88
Tm2 0.0000 0.3126 0.2500 [4 per cell]  5 P 2.72-2.83
Ge1 0.0000 0.4568 0.2500 [4 per cell]  2 Ge 2.73, 4 Tm 2.88
P1 0.0000 0.1882 0.2500 [4 per cell]  6 Tm 2.66-2.83

Calculated values
The crystal system is orthorhombic. Its polymorph energy (0 for the lowest one) is 0.000 eV/atom.

***

# 9
This record from the Alexandria database describes a relaxed U2GeP crystal. The functional is GGA-PBE.

Lattice parameters (Å, degrees): 4.0371 4.0371 19.5584 90.00 90.00 120.00
Last column: nearest neighbours and their distance in Å.
Space group R-3m (No. 166, hexagonal axes)
Symmetry-distinct sites (fractional):
U1 0.0000 0.0000 0.2452 [6 per cell]  3 P 2.79, 3 Ge 2.90
Ge1 0.0000 0.0000 0.0000 [3 per cell]  6 U 2.90
P1 0.0000 0.0000 0.5000 [3 per cell]  6 U 2.79

Calculated values
The crystal system is trigonal.

***

# 10
This record from the Alexandria database describes a relaxed UGe2P crystal. The functional is GGA-PBE.

Lattice parameters (Å, degrees): 3.9520 3.9520 4.5122 90.00 90.00 90.00
Last column: nearest neighbours and their distance in Å.
Space group P4/mmm (No. 123)
Symmetry-distinct sites (fractional):
U1 0.0000 0.0000 0.0000 [1 per cell]  4 P 2.79, 8 Ge 3.00
Ge1 0.0000 0.5000 0.5000 [2 per cell]  4 Ge 2.79, 4 U 3.00, 4 P 3.00
P1 0.5000 0.5000 0.0000 [1 per cell]  4 U 2.79, 8 Ge 3.00

Calculated values
The crystal system is tetragonal.

***

# 11
This record from the Alexandria database describes a relaxed UGeP2 crystal. The functional is GGA-PBE.

Lattice parameters (Å, degrees): 4.2660 4.2660 3.7033 90.00 90.00 90.00
Last column: nearest neighbours and their distance in Å.
Space group P4/mmm (No. 123)
Symmetry-distinct sites (fractional):
U1 0.0000 0.0000 0.0000 [1 per cell]  8 P 2.82, 4 Ge 3.02
Ge1 0.5000 0.5000 0.0000 [1 per cell]  8 P 2.82, 4 U 3.02
P1 0.0000 0.5000 0.5000 [2 per cell]  4 Ge 2.82, 4 U 2.82, 4 P 3.02

Calculated values
The crystal system is tetragonal. Its polymorph energy (0 for the lowest one) is 0.000 eV/atom.

***

# 12
This record from the Alexandria database describes a relaxed UGeP crystal. The functional is GGA-PBE.

Lattice parameters (Å, degrees): 4.2349 4.2349 3.6718 90.00 90.00 120.00
Last column: nearest neighbours and their distance in Å.
Space group P-6m2 (No. 187)
Symmetry-distinct sites (fractional):
U1 0.0000 0.0000 0.0000 [1 per cell]  6 Ge 3.06, 6 P 3.06
Ge1 0.6667 0.3333 0.5000 [1 per cell]  3 P 2.45
P1 0.3333 0.6667 0.5000 [1 per cell]  3 Ge 2.45

Calculated values
The crystal system is hexagonal.

***

Energy of formation
In order: 185, 32, 245, 192, 614, 782, -1137, -1218, -475, -428, -479, -298
Unit: meV/atom